[1]
First-principles (PBE) data for a relaxed structure of KPb2W, as listed in Alexandria.

Cell and atoms, written as POSCAR:
```
KPb2W
1.0
0.000 3.720 3.720
3.720 0.000 3.720
3.720 3.720 0.000
K Pb W
1 2 1
direct
0.000 0.000 0.000
0.250 0.250 0.250
0.750 0.750 0.750
0.500 0.500 0.500
```

Output
- Final energy: -4.383 eV per atom
- Magnetization: 2.656 Bohr magnetons per cell
- E_form: 0.984 eV per atom
- DOS(E_F): 0.710 states/eV per atom



[2]
First-principles (PBE) data for a relaxed structure of KPbW4, as listed in Alexandria.

Cell and atoms, written as POSCAR:
```
KPbW4
1.0
0.000 3.931 3.931
3.931 0.000 3.931
3.931 3.931 0.000
K Pb W
1 1 4
direct
0.000 0.000 0.000
0.750 0.750 0.750
0.372 0.372 0.372
0.372 0.372 0.884
0.372 0.884 0.372
0.884 0.372 0.372
```

Output
- Final energy: -8.219 eV per atom
- Magnetization: 0.000 Bohr magnetons per cell
- E_form: 1.217 eV per atom
- DOS(E_F): 1.119 states/eV per atom



[3]
First-principles (PBE) data for a relaxed structure of K2PbW, as listed in Alexandria.

Cell and atoms, written as POSCAR:
```
K2PbW
1.0
-2.352 3.040 5.314
2.352 -3.040 5.314
2.352 3.040 -5.314
K Pb W
2 1 1
direct
0.000 0.000 0.000
0.698 0.198 0.500
0.276 0.776 0.500
0.414 0.414 0.000
```

Output
- Final energy: -3.629 eV per atom
- Magnetization: 3.806 Bohr magnetons per cell
- E_form: 1.085 eV per atom
- DOS(E_F): 0.359 states/eV per atom



[4]
First-principles (PBE) data for a relaxed structure of KPbW2, as listed in Alexandria.

Cell and atoms, written as POSCAR:
```
KPbW2
1.0
2.877 0.000 0.000
0.000 5.576 0.000
-0.147 0.000 5.511
K Pb W
1 1 2
direct
0.000 0.000 0.000
0.500 0.000 0.500
0.349 0.500 0.782
0.651 0.500 0.218
```

Output
- Final energy: -6.227 eV per atom
- Magnetization: 0.000 Bohr magnetons per cell
- E_form: 1.451 eV per atom
- DOS(E_F): 0.922 states/eV per atom



[5]
First-principles (PBE) data for a relaxed structure of KPbW2, as listed in Alexandria.

Cell and atoms, written as POSCAR:
```
KPbW2
1.0
3.044 0.000 0.000
0.000 4.720 0.000
0.000 0.000 7.387
K Pb W
1 1 2
direct
0.000 0.000 0.000
0.000 0.000 0.500
0.500 0.500 0.344
0.500 0.500 0.656
```

Output
- Final energy: -6.276 eV per atom
- Magnetization: 0.000 Bohr magnetons per cell
- E_form: 1.402 eV per atom
- DOS(E_F): 0.872 states/eV per atom



[6]
First-principles (PBE) data for a relaxed structure of KPbW2, as listed in Alexandria.

Cell and atoms, written as POSCAR:
```
KPbW2
1.0
0.000 3.457 3.457
3.457 0.000 3.457
3.457 3.457 0.000
K Pb W
1 1 2
direct
0.000 0.000 0.000
0.250 0.250 0.250
0.500 0.500 0.500
0.750 0.750 0.750
```

Output
- Final energy: -6.180 eV per atom
- Magnetization: 0.840 Bohr magnetons per cell
- E_form: 1.499 eV per atom
- DOS(E_F): 0.772 states/eV per atom



[7]
First-principles (PBE) data for a relaxed structure of K2PbW, as listed in Alexandria.

Cell and atoms, written as POSCAR:
```
K2PbW
1.0
3.087 0.000 0.000
0.000 6.041 0.000
-0.983 0.000 5.845
K Pb W
2 1 1
direct
0.004 0.000 0.254
0.996 0.000 0.746
0.500 0.500 0.000
0.500 0.500 0.500
```

Output
- Final energy: -3.535 eV per atom
- Magnetization: 0.002 Bohr magnetons per cell
- E_form: 1.179 eV per atom
- DOS(E_F): 0.976 states/eV per atom



[8]
First-principles (PBE) data for a relaxed structure of KPb2W, as listed in Alexandria.

Cell and atoms, written as POSCAR:
```
KPb2W
1.0
3.611 -4.687 0.000
3.611 4.687 0.000
-0.881 0.000 2.998
K Pb W
1 2 1
direct
0.000 0.000 0.000
0.000 0.500 0.500
0.500 0.000 0.500
0.500 0.500 0.000
```

Output
- Final energy: -4.318 eV per atom
- Magnetization: 0.001 Bohr magnetons per cell
- E_form: 1.049 eV per atom
- DOS(E_F): 0.890 states/eV per atom